[1]
First-principles (GGA-PBE) data for a relaxed structure of Co8Ni2Pt, as listed in Alexandria.

```
Co8Ni2Pt
1.0
6.183 -2.322 0.000
6.183 2.322 0.000
-1.460 0.000 4.541
Co Ni Pt
8 2 1
Cartesian
0.640 0.000 0.979 Co
4.476 1.171 1.554 Co
2.598 0.000 2.829 Co
6.429 1.171 2.987 Co
4.476 -1.171 1.554 Co
8.307 0.000 1.712 Co
6.429 -1.171 2.987 Co
10.265 0.000 3.561 Co
2.804 0.000 0.346 Ni
8.101 0.000 4.195 Ni
6.183 0.000 0.000 Pt
```

Calculated total energy   -6.618 eV/atom
Total magnetic moment   15.7 μB/f.u.
Energy of formation from the pure elements   0.150 eV per atom
Crystal system   monoclinic
DOS(E_F)   1.040 states/eV per atom
Offset from the most stable computed form   4 meV/atom



[2]
First-principles (GGA-PBE) data for a relaxed structure of Co4Ni7Pt, as listed in Alexandria.

```
Co4Ni7Pt
1.0
4.345 0.000 0.000
0.006 5.083 0.000
2.089 1.278 6.182
Co Ni Pt
4 7 1
Cartesian
4.686 0.640 1.011 Co
1.755 5.720 5.171 Co
2.491 1.882 0.981 Co
3.949 4.478 5.201 Co
1.054 1.865 3.092 Ni
0.366 3.182 0.985 Ni
3.915 1.889 5.187 Ni
3.217 0.639 3.091 Ni
2.526 4.472 0.995 Ni
6.074 3.178 5.197 Ni
5.387 4.495 3.091 Ni
3.220 3.180 3.091 Pt
```

Calculated total energy   -6.264 eV/atom
Total magnetic moment   11.9 μB/f.u.
Energy of formation from the pure elements   -0.020 eV per atom
Crystal system   triclinic
DOS(E_F)   1.177 states/eV per atom
Offset from the most stable computed form   0 meV/atom



[3]
First-principles (GGA-PBE) data for a relaxed structure of Co2Ni2Pt3, as listed in Alexandria.

```
Co2Ni2Pt3
1.0
9.110 0.000 0.000
0.000 2.742 0.000
-0.272 0.000 7.365
Co Ni Pt
4 4 6
Cartesian
1.148 0.000 3.458 Co
3.136 1.371 3.907 Co
5.703 1.371 3.458 Co
7.691 0.000 3.907 Co
0.163 1.371 5.192 Ni
4.121 0.000 2.173 Ni
4.718 0.000 5.192 Ni
8.676 1.371 2.173 Ni
0.000 0.000 0.000 Pt
2.051 1.371 1.348 Pt
2.233 0.000 6.016 Pt
4.555 1.371 0.000 Pt
6.606 0.000 1.348 Pt
6.788 1.371 6.016 Pt
```

Calculated total energy   -6.295 eV/atom
Total magnetic moment   6.1 μB/f.u.
Energy of formation from the pure elements   -0.024 eV per atom
Crystal system   monoclinic
DOS(E_F)   1.351 states/eV per atom



[4]
First-principles (GGA-PBE) data for a relaxed structure of CoNi2Pt, as listed in Alexandria.

```
CoNi2Pt
1.0
7.008 0.000 0.000
0.000 6.433 0.000
0.000 0.000 4.567
Co Ni Pt
4 8 4
Cartesian
0.000 0.000 0.000 Co
0.000 0.000 2.284 Co
3.504 3.216 0.000 Co
3.504 3.216 2.284 Co
1.257 1.912 1.142 Ni
1.257 4.521 3.425 Ni
2.247 1.304 3.425 Ni
2.247 5.129 1.142 Ni
4.760 1.304 3.425 Ni
4.760 5.129 1.142 Ni
5.751 1.912 1.142 Ni
5.751 4.521 3.425 Ni
0.000 2.334 3.425 Pt
0.000 4.099 1.142 Pt
3.504 0.882 1.142 Pt
3.504 5.551 3.425 Pt
```

Calculated total energy   -6.083 eV/atom
Total magnetic moment   3.5 μB/f.u.
Energy of formation from the pure elements   0.094 eV per atom
Crystal system   orthorhombic
DOS(E_F)   1.255 states/eV per atom



[5]
First-principles (GGA-PBE) data for a relaxed structure of Co2NiPt, as listed in Alexandria.

```
Co2NiPt
1.0
2.619 0.000 0.000
0.000 3.590 0.000
0.000 0.000 5.225
Co Ni Pt
2 1 1
Cartesian
0.000 0.000 0.000 Co
1.309 1.795 1.201 Co
0.000 0.000 2.423 Ni
1.309 1.795 3.822 Pt
```

Calculated total energy   -6.557 eV/atom
Total magnetic moment   4.5 μB/f.u.
Energy of formation from the pure elements   -0.049 eV per atom
Crystal system   orthorhombic
DOS(E_F)   1.112 states/eV per atom



[6]
First-principles (GGA-PBE) data for a relaxed structure of CoNi2Pt, as listed in Alexandria.

```
CoNi2Pt
1.0
3.653 0.000 0.000
0.000 3.653 0.000
0.000 0.000 7.330
Co Ni Pt
2 4 2
Cartesian
0.000 0.000 0.000 Co
1.826 1.826 3.665 Co
0.000 0.000 3.665 Ni
0.000 1.826 5.498 Ni
1.826 0.000 1.833 Ni
1.826 1.826 0.000 Ni
0.000 1.826 1.833 Pt
1.826 0.000 5.498 Pt
```

Calculated total energy   -6.252 eV/atom
Total magnetic moment   3.4 μB/f.u.
Energy of formation from the pure elements   -0.075 eV per atom
Crystal system   tetragonal
DOS(E_F)   1.382 states/eV per atom